## PmWC2 (PBE-GGA)

Data for crystalline PmWC2 at its relaxed geometry.

abc: 3.279 3.280 6.024
angles: 74.21 74.21 60.01
Element x y z (fractional)
Pm (0.000, 0.000, 0.000)
W (0.500, 0.500, 0.500)
C (0.234, 0.234, 0.298)
C (0.766, 0.766, 0.702)

Calculated values
The formation energy comes out at 0.01 eV per atom. Its space group is R-3m (166). Its total energy is -9.03 eV per atom. The value obtained for the offset from the most stable computed form is 0.0000 eV/atom.